Record 1
! Rb2LiTcCl6 PBE relaxed; values from VASP
! Formation energy (no corrections) in meV/atom: -1406
! Density of states at the Fermi level in states/eV/f.u.: 5.7
! Space group: No. 166
&SYSTEM
  ibrav = 0, nat = 20, ntyp = 4
/
ATOMIC_SPECIES
Rb 85.47 Rb.upf
Li 6.94 Li.upf
Tc 98.00 Tc.upf
Cl 35.45 Cl.upf
CELL_PARAMETERS angstrom
3.584 2.070 11.864
-3.584 2.070 11.864
0.000 -4.139 11.864
ATOMIC_POSITIONS angstrom
Rb 0.000 0.000 4.459
Rb 0.000 0.000 10.457
Rb 0.000 0.000 25.136
Rb 0.000 0.000 31.134
Li 0.000 0.000 14.815
Li 0.000 0.000 20.778
Tc 0.000 0.000 0.000
Tc 0.000 0.000 17.797
Cl -1.698 -0.980 16.378
Cl 0.000 -2.163 13.263
Cl -1.873 1.082 13.263
Cl -1.873 -1.082 22.330
Cl 0.000 -1.961 19.215
Cl -1.698 0.980 19.215
Cl 1.698 -0.980 16.378
Cl 0.000 1.961 16.378
Cl 1.873 1.082 13.263
Cl 1.873 -1.082 22.330
Cl 0.000 2.163 22.330
Cl 1.698 0.980 19.215

Record 2
! RbLiTe2Cl PBE relaxed; values from VASP
! Formation energy (no corrections) in meV/atom: 95
! Density of states at the Fermi level in states/eV/f.u.: 8.5
! Space group: No. 123
&SYSTEM
  ibrav = 0, nat = 5, ntyp = 4
/
ATOMIC_SPECIES
Rb 85.47 Rb.upf
Li 6.94 Li.upf
Te 127.60 Te.upf
Cl 35.45 Cl.upf
CELL_PARAMETERS angstrom
6.771 0.000 0.000
0.000 6.771 0.000
0.000 0.000 5.976
ATOMIC_POSITIONS angstrom
Rb 0.000 0.000 0.000
Li 3.386 3.386 2.988
Te 0.000 3.386 0.000
Te 3.386 0.000 0.000
Cl 0.000 0.000 2.988

Record 3
! Rb2Li3ThCl12 PBE relaxed; values from VASP
! Formation energy (no corrections) in meV/atom: -1446
! Density of states at the Fermi level in states/eV/f.u.: 16.9
! Space group: No. 166
&SYSTEM
  ibrav = 0, nat = 18, ntyp = 4
/
ATOMIC_SPECIES
Rb 85.47 Rb.upf
Li 6.94 Li.upf
Th 232.04 Th.upf
Cl 35.45 Cl.upf
CELL_PARAMETERS angstrom
4.529 2.615 8.111
-4.529 2.615 8.111
0.000 -5.229 8.111
ATOMIC_POSITIONS angstrom
Rb 0.000 0.000 2.351
Rb 0.000 0.000 21.984
Li -2.264 -1.307 8.111
Li -2.264 1.307 16.223
Li 0.000 2.615 8.111
Th 0.000 0.000 12.167
Cl -1.985 -1.146 10.735
Cl 0.000 -2.452 7.912
Cl -2.124 1.226 7.912
Cl -2.124 -1.226 16.422
Cl 0.000 -2.292 13.600
Cl -1.985 1.146 13.600
Cl 1.985 -1.146 10.735
Cl 0.000 2.292 10.735
Cl 2.124 1.226 7.912
Cl 2.124 -1.226 16.422
Cl 0.000 2.452 16.422
Cl 1.985 1.146 13.600

Record 4
! RbLi2ThCl8 PBE relaxed; values from VASP
! Formation energy (no corrections) in meV/atom: -1748
! Density of states at the Fermi level in states/eV/f.u.: 4.4
! Space group: No. 12
&SYSTEM
  ibrav = 0, nat = 12, ntyp = 4
/
ATOMIC_SPECIES
Rb 85.47 Rb.upf
Li 6.94 Li.upf
Th 232.04 Th.upf
Cl 35.45 Cl.upf
CELL_PARAMETERS angstrom
6.087 -3.591 0.000
6.087 3.591 0.000
-0.343 0.000 9.585
ATOMIC_POSITIONS angstrom
Rb 0.000 0.000 0.000
Li 4.012 0.000 2.531
Li 7.819 0.000 7.054
Th -0.171 0.000 4.793
Cl 2.475 0.000 4.366
Cl 5.641 1.770 2.815
Cl 3.293 0.000 0.270
Cl 6.189 1.770 6.771
Cl 5.641 -1.770 2.815
Cl 8.537 0.000 9.315
Cl 6.189 -1.770 6.771
Cl 9.355 0.000 5.219

Record 5
! Rb3LiTl2Cl9 PBE relaxed; values from VASP
! Formation energy (no corrections) in meV/atom: -1363
! Density of states at the Fermi level in states/eV/f.u.: 2.2
! Space group: No. 164
&SYSTEM
  ibrav = 0, nat = 15, ntyp = 4
/
ATOMIC_SPECIES
Rb 85.47 Rb.upf
Li 6.94 Li.upf
Tl 204.38 Tl.upf
Cl 35.45 Cl.upf
CELL_PARAMETERS angstrom
7.502 0.000 0.000
-3.751 6.497 0.000
0.000 0.000 9.260
ATOMIC_POSITIONS angstrom
Rb 0.000 0.000 0.000
Rb 0.000 4.331 6.044
Rb 3.751 2.166 3.215
Li 0.000 0.000 4.630
Tl 0.000 4.331 1.673
Tl 3.751 2.166 7.587
Cl -1.875 3.248 0.000
Cl 0.000 2.105 3.117
Cl -1.928 5.444 3.117
Cl 1.823 1.052 6.143
Cl 3.751 0.000 0.000
Cl 1.875 3.248 0.000
Cl 1.928 5.444 3.117
Cl 5.679 1.052 6.143
Cl 3.751 4.392 6.143

Record 6
! Rb2LiTl3Cl6 PBE relaxed; values from VASP
! Formation energy (no corrections) in meV/atom: -1417
! Density of states at the Fermi level in states/eV/f.u.: 0.0
! Space group: No. 12
&SYSTEM
  ibrav = 0, nat = 12, ntyp = 4
/
ATOMIC_SPECIES
Rb 85.47 Rb.upf
Li 6.94 Li.upf
Tl 204.38 Tl.upf
Cl 35.45 Cl.upf
CELL_PARAMETERS angstrom
3.936 -6.759 0.000
3.936 6.759 0.000
-2.666 0.000 7.337
ATOMIC_POSITIONS angstrom
Rb 3.936 4.508 0.000
Rb 3.936 -4.508 0.000
Li 3.936 0.000 0.000
Tl -1.333 0.000 3.669
Tl 2.603 2.227 3.669
Tl 2.603 -2.227 3.669
Cl 0.202 1.873 5.759
Cl 1.453 0.000 1.904
Cl 0.202 -1.873 5.759
Cl 5.004 1.873 1.578
Cl 3.753 0.000 5.433
Cl 5.004 -1.873 1.578

Record 7
! RbLiTlCl3 PBE relaxed; values from VASP
! Formation energy (no corrections) in meV/atom: -1580
! Density of states at the Fermi level in states/eV/f.u.: 0.0
! Space group: No. 11
&SYSTEM
  ibrav = 0, nat = 12, ntyp = 4
/
ATOMIC_SPECIES
Rb 85.47 Rb.upf
Li 6.94 Li.upf
Tl 204.38 Tl.upf
Cl 35.45 Cl.upf
CELL_PARAMETERS angstrom
9.596 0.000 0.000
0.000 4.307 0.000
-1.030 0.000 9.797
ATOMIC_POSITIONS angstrom
Rb 1.660 1.077 1.503
Rb 6.907 3.230 8.294
Li 2.972 3.230 8.920
Li 5.595 1.077 0.876
Tl 1.040 1.077 6.175
Tl 7.526 3.230 3.621
Cl 0.927 3.230 3.857
Cl 0.652 3.230 8.689
Cl 4.557 3.230 1.462
Cl 4.010 1.077 8.334
Cl 7.914 1.077 1.107
Cl 7.640 1.077 5.939

Record 8
! Rb2LiTlCl4 PBE relaxed; values from VASP
! Formation energy (no corrections) in meV/atom: -1601
! Density of states at the Fermi level in states/eV/f.u.: 0.0
! Space group: No. 15
&SYSTEM
  ibrav = 0, nat = 16, ntyp = 4
/
ATOMIC_SPECIES
Rb 85.47 Rb.upf
Li 6.94 Li.upf
Tl 204.38 Tl.upf
Cl 35.45 Cl.upf
CELL_PARAMETERS angstrom
6.413 -6.259 0.000
6.413 6.259 0.000
-6.225 0.000 6.435
ATOMIC_POSITIONS angstrom
Rb 0.000 0.000 0.000
Rb -3.112 0.000 3.218
Rb 3.206 3.130 0.000
Rb 0.094 -3.130 3.218
Li 0.094 3.130 3.218
Li 3.206 -3.130 0.000
Tl 6.413 0.000 0.000
Tl 3.301 0.000 3.218
Cl 0.106 0.616 3.228
Cl 3.229 3.107 3.265
Cl 0.260 3.107 6.388
Cl 3.218 -0.616 0.010
Cl 3.383 0.616 6.425
Cl 6.341 -3.107 0.047
Cl 3.372 -3.107 3.170
Cl 6.496 -0.616 3.207